A plane-wave DFT calculation with GGA-PBE was carried out for WN3Cl after structural relaxation.

Density of states at the Fermi level: 0.543 states/eV per atom
Formation energy (no corrections): 1059 meV/atom
Total DFT energy (no corrections): -6.896 eV/atom

Unit cell a=4.0227 b=4.0227 c=4.0227 alpha=90.00 beta=90.00 gamma=90.00
Closest atoms and distances in Å follow each position.
Fractional positions:
W 0.0000 0.0000 0.0000  6 N 2.01
N 0.0000 0.0000 0.5000  2 W 2.01
N 0.0000 0.5000 0.0000  2 W 2.01
N 0.5000 0.0000 0.0000  2 W 2.01
Cl 0.5000 0.5000 0.5000  12 N 2.84

---

A plane-wave DFT calculation with GGA-PBE was carried out for W2NCl after structural relaxation.

Density of states at the Fermi level: 0.880 states/eV per atom
Formation energy (no corrections): 1375 meV/atom
Total DFT energy (no corrections): -7.645 eV/atom

Unit cell a=4.1100 b=4.1100 c=4.1100 alpha=60.00 beta=60.00 gamma=60.00
Closest atoms and distances in Å follow each position.
Fractional positions:
W 0.2500 0.2500 0.2500  4 Cl 2.52, 4 N 2.52
W 0.7500 0.7500 0.7500  4 Cl 2.52, 4 N 2.52
N 0.0000 0.0000 0.0000  8 W 2.52
Cl 0.5000 0.5000 0.5000  8 W 2.52

---

A plane-wave DFT calculation with GGA-PBE was carried out for W2NCl2 after structural relaxation.

Density of states at the Fermi level: 1.157 states/eV per atom
Formation energy (no corrections): 2031 meV/atom
Total DFT energy (no corrections): -5.554 eV/atom

Unit cell a=7.0627 b=7.0627 c=2.9187 alpha=90.00 beta=90.00 gamma=90.00
Closest atoms and distances in Å follow each position.
Fractional positions:
W 0.1914 0.3086 0.0000  2 Cl 2.32
W 0.3086 0.8086 0.0000  2 Cl 2.32
W 0.6914 0.1914 0.0000  2 Cl 2.32
W 0.8086 0.6914 0.0000  2 Cl 2.32
N 0.0000 0.0000 0.5000  4 Cl 2.78, 2 N 2.92, 8 W 2.95
N 0.5000 0.5000 0.5000  4 Cl 2.78, 2 N 2.92, 8 W 2.95
Cl 0.1283 0.6283 0.5000  2 W 2.32, 1 Cl 2.56
Cl 0.3717 0.1283 0.5000  2 W 2.32, 1 Cl 2.56
Cl 0.6283 0.8717 0.5000  2 W 2.32, 1 Cl 2.56
Cl 0.8717 0.3717 0.5000  2 W 2.32, 1 Cl 2.56

---

A plane-wave DFT calculation with GGA-PBE was carried out for WNCl3 after structural relaxation.

Density of states at the Fermi level: 0.785 states/eV per atom
Formation energy (no corrections): 1765 meV/atom
Total DFT energy (no corrections): -3.598 eV/atom

Unit cell a=4.4417 b=4.4417 c=4.4417 alpha=90.00 beta=90.00 gamma=90.00
Closest atoms and distances in Å follow each position.
Fractional positions:
W 0.0000 0.0000 0.0000  12 Cl 3.14
N 0.5000 0.5000 0.5000  6 Cl 2.22
Cl 0.0000 0.5000 0.5000  2 N 2.22
Cl 0.5000 0.0000 0.5000  2 N 2.22
Cl 0.5000 0.5000 0.0000  2 N 2.22

---

A plane-wave DFT calculation with GGA-PBE was carried out for W2NCl after structural relaxation.

Density of states at the Fermi level: 0.098 states/eV per atom
Formation energy (no corrections): 547 meV/atom
Total DFT energy (no corrections): -8.472 eV/atom

Unit cell a=7.1965 b=7.1965 c=7.1965 alpha=145.11 beta=145.11 gamma=50.17
Closest atoms and distances in Å follow each position.
Fractional positions:
W 0.0488 0.6250 0.9238  2 N 2.09
W 0.3750 0.2988 0.4238  2 N 2.09
W 0.7012 0.1250 0.0762  2 N 2.09
W 0.8750 0.9512 0.5762  2 N 2.09
N 0.0000 0.0000 0.0000  4 W 2.09
N 0.7500 0.2500 0.5000  4 W 2.09
Cl 0.2500 0.7500 0.5000  4 W 2.41
Cl 0.5000 0.5000 0.0000  4 W 2.41

---

A plane-wave DFT calculation with GGA-PBE was carried out for W2NCl2 after structural relaxation.

Density of states at the Fermi level: 0.630 states/eV per atom
Formation energy (no corrections): 1738 meV/atom
Total DFT energy (no corrections): -5.847 eV/atom

Unit cell a=6.8802 b=6.8802 c=6.8802 alpha=147.28 beta=147.28 gamma=46.94
Closest atoms and distances in Å follow each position.
Fractional positions:
W 0.2500 0.7500 0.5000  4 Cl 2.48, 4 W 2.74
W 0.7500 0.2500 0.5000  4 Cl 2.48, 4 W 2.74
N 0.0000 0.0000 0.0000  8 Cl 3.18
Cl 0.3726 0.3726 0.0000  4 W 2.48
Cl 0.6274 0.6274 0.0000  4 W 2.48

---

A plane-wave DFT calculation with GGA-PBE was carried out for WNCl3 after structural relaxation.

Density of states at the Fermi level: 2.088 states/eV per atom
Formation energy (no corrections): 1246 meV/atom
Total DFT energy (no corrections): -4.117 eV/atom

Unit cell a=4.7047 b=4.7047 c=4.7047 alpha=90.00 beta=90.00 gamma=90.00
Closest atoms and distances in Å follow each position.
Fractional positions:
W 0.0000 0.0000 0.0000  6 Cl 2.35
N 0.5000 0.5000 0.5000  12 Cl 3.33
Cl 0.0000 0.0000 0.5000  2 W 2.35
Cl 0.0000 0.5000 0.0000  2 W 2.35
Cl 0.5000 0.0000 0.0000  2 W 2.35

---

A plane-wave DFT calculation with GGA-PBE was carried out for YNCl3 after structural relaxation.

Density of states at the Fermi level: 0.000 states/eV per atom
Formation energy (no corrections): -765 meV/atom
Total DFT energy (no corrections): -4.831 eV/atom

Unit cell a=5.3062 b=7.9676 c=8.5303 alpha=91.49 beta=104.46 gamma=90.01
Closest atoms and distances in Å follow each position.
Fractional positions:
Y 0.0011 0.2498 0.0022  6 Cl 2.65-2.67
Y 0.9989 0.7502 0.9978  6 Cl 2.65-2.67
N 0.3290 0.7401 0.5740  7 Cl 3.50-3.77
N 0.6710 0.2599 0.4260  7 Cl 3.50-3.77
Cl 0.0860 0.0039 0.2146  2 Y 2.66-2.67
Cl 0.0861 0.5079 0.2142  2 Y 2.66-2.67
Cl 0.4989 0.7499 0.9981  2 Y 2.65
Cl 0.5011 0.2501 0.0019  2 Y 2.65
Cl 0.9139 0.4921 0.7858  2 Y 2.66-2.67
Cl 0.9140 0.9961 0.7854  2 Y 2.66-2.67